# 1
## SbOsF2 (GGA-PBE)

Data for a relaxed SbOsF2 crystal.

The structure in POSCAR format:
```
SbOsF2
1.0
-5.9116 3.0296 3.0003
-0.0594 -5.1869 5.1206
-1.4975 0.3624 5.5373
Sb Os F
2 2 4
Cartesian
-2.9855 -1.0786 4.0604
-2.2712 -2.9516 7.3592
0.0000 0.0000 0.0000
-5.1973 1.1567 6.2990
-4.6823 1.6462 4.2070
-0.5446 -3.0830 4.6523
-3.3561 -0.0057 6.6736
-6.3538 -2.1473 11.7835
```

Calculated values
VASP energy, eV per atom: -4.9478
Magnetic moment, μB per atom: 0.000
Space-group type: I-42d
Uncorrected formation energy, kJ/mol of formula units: -67
Offset from the most stable computed form, meV per atom: 386

=====

# 2
## Pr6ZnP2Cl3 (GGA-PBE)

Data for a relaxed Pr6ZnP2Cl3 crystal.

The structure in POSCAR format:
```
Pr6ZnP2Cl3
1.0
4.1362 0.0000 0.0000
0.0000 8.6249 0.2283
-2.0681 -2.5710 8.9325
Pr Zn P Cl
6 1 2 3
Cartesian
0.0000 6.0222 6.2271
2.0681 3.9501 3.2337
2.0681 0.0317 2.9337
0.0000 2.0943 0.1672
2.0681 3.9597 8.9936
0.0000 2.1038 5.9271
2.0681 0.0000 0.0000
2.0681 4.0539 6.0918
0.0000 2.0000 3.0690
2.0681 4.3125 0.1142
2.0681 -0.2434 5.9794
0.0000 6.2973 3.1814
```

Calculated values
VASP energy, eV per atom: -5.1988
Magnetic moment, μB per atom: 0.000
Space-group type: C2/m
Uncorrected formation energy, kJ/mol of formula units: -1551